The following is a PBE calculation of a relaxed LiOsPt2 crystal, from Alexandria.

Cell: 3.8650 3.8650 8.9643 Å, 77.55 77.55 90.00°
Atoms (fractional coordinates):
Os 0.0000 0.0000 0.0000
Os 0.7500 0.2500 0.5000
Li 0.2500 0.7500 0.5000
Li 0.5000 0.5000 0.0000
Pt 0.3750 0.3784 0.7500
Pt 0.6216 0.1250 0.2500
Pt 0.1284 0.6250 0.2500
Pt 0.8750 0.8716 0.7500

Properties
Formation energy, meV per atom: 408
Raw total energy, Ha/atom: -0.2168
Theoretical density, Mg/m³: 15.29
Distance to the lowest polymorph of the same formula, meV/atom: 647